No. 1
# PBE BeSb3, relaxed
# Offset from the most stable computed form: 203 meV per atom
data_BeSb3
_chemical_formula_sum 'Be4 Sb12'
_symmetry_space_group_name_H-M 'C m c m'
_symmetry_Int_Tables_number 63
_symmetry_space_group_name_Hall '-C 2c 2'
_cell_length_a 8.406
_cell_length_b 9.382
_cell_length_c 5.817
_cell_angle_alpha 90.00
_cell_angle_beta 90.00
_cell_angle_gamma 90.00
loop_
_atom_site_label
_atom_site_fract_x
_atom_site_fract_y
_atom_site_fract_z
Be1 0.000 0.039 0.250
Sb1 0.000 0.488 0.750
Sb2 0.228 0.198 0.250

---

No. 2
DFT (PBE) results for a relaxed structure of Be4Sb5.

```
data_Be4Sb5
_chemical_formula_sum 'Be8 Sb10'
_symmetry_space_group_name_H-M 'P 63/m c m'
_symmetry_Int_Tables_number 193
_symmetry_space_group_name_Hall '-P 6c 2'
_cell_length_a 7.5378
_cell_length_b 7.5378
_cell_length_c 7.3230
_cell_angle_alpha 90.00
_cell_angle_beta 90.00
_cell_angle_gamma 120.00
loop_
_atom_site_label
_atom_site_fract_x
_atom_site_fract_y
_atom_site_fract_z
Be1 0.0000 0.0000 0.0000
Be2 0.0000 0.4180 0.2500
Sb1 0.0000 0.2477 0.7500
Sb2 0.3333 0.6667 0.0000
```

---

| no. | E_form (uncorrected) (meV/atom) | size of the total moment (Bohr magnetons per cell) |
| --- | --- | --- |
| 1 | 460 | 0.0 |
| 2 | 557 | 0.0 |